VASP calculation (PBE with a Hubbard U) on crystalline Cr2InPbF at its relaxed geometry.

```
Cr2InPbF
1.0
5.4512 0.0000 0.0000
0.0000 5.8126 0.0000
0.0000 0.0000 5.4512
Cr Pb In F
2 1 1 1
Cartesian
2.7256 0.0000 0.0000 Cr
0.0000 0.0000 2.7256 Cr
0.0000 0.0000 0.0000 Pb
0.0000 2.9063 0.0000 In
2.7256 2.9063 2.7256 F
```

Calculated values
final energy: -21.242 eV for the cell shown
M_tot: 9.2 μB per formula unit
ρ: 4.3 Mg/m³